A plane-wave DFT calculation with PBE was carried out for an optimized crystal structure of BaHgMo2.

Calculated values
- Spin magnetization: 0.00 μB per formula unit
- ΔH_f (0 K): 2.6 eV per formula unit

abc: 3.1641 3.1641 10.2019
angles: 90.00 90.00 115.32
With the nearest neighbours (Å) after each atom.
Fractional positions:
Ba: 0.0000 0.0000 0.0000  6 Ba 3.16-3.39, 2 Mo 3.38, 2 Hg 3.49
Hg: 0.5000 0.5000 0.7007  2 Mo 2.98, 4 Hg 3.16
Mo: 0.0000 0.0000 0.4603  2 Mo 2.45
Mo: 0.5000 0.5000 0.2873  2 Mo 2.45



A plane-wave DFT calculation with PBE was carried out for an optimized crystal structure of PmDy2P.

Calculated values
- Spin magnetization: 0.94 μB per formula unit
- ΔH_f (0 K): -2.1 eV per formula unit

abc: 10.4528 10.4528 10.4528
angles: 20.66 20.66 20.66
With the nearest neighbours (Å) after each atom.
Fractional positions:
Pm: 0.0000 0.0000 0.0000  2 Dy 3.49, 6 Pm 3.75
Dy: 0.1138 0.1138 0.1138  3 P 2.70
Dy: 0.8862 0.8862 0.8862  3 P 2.70
P: 0.5000 0.5000 0.5000  6 Dy 2.70



A plane-wave DFT calculation with PBE was carried out for an optimized crystal structure of KSiNi2.

Calculated values
- Raw formation energy: 0.074 eV/atom
- Spin magnetization: 0.00 μB per formula unit

abc: 2.8555 2.8611 7.9450
angles: 90.00 90.13 90.00
With the nearest neighbours (Å) after each atom.
Fractional positions:
K: 0.0000 0.0000 0.0000  4 K 2.86
Si: 0.0000 0.0000 0.5000  8 Ni 2.39
Ni: 0.4990 0.5000 0.3399  4 Si 2.39, 1 Ni 2.54
Ni: 0.5010 0.5000 0.6601  4 Si 2.39, 1 Ni 2.54



A plane-wave DFT calculation with PBE was carried out for an optimized crystal structure of NiP2Se.

Calculated values
- Raw formation energy: 0.062 eV/atom
- Spin magnetization: 0.00 μB per formula unit

abc: 3.8687 3.4111 5.6249
angles: 90.00 98.02 90.00
With the nearest neighbours (Å) after each atom.
Fractional positions:
Ni: 0.0000 0.0000 0.0000  3 P 2.25-2.36
P: 0.3758 0.5000 0.9883  2 Ni 2.25, 2 P 2.25, 1 Se 2.27
P: 0.4200 0.0000 0.7337  2 P 2.25, 2 Ni 2.36-2.52
Se: 0.8264 0.5000 0.2939  1 P 2.27, 2 Ni 2.53



A plane-wave DFT calculation with PBE was carried out for an optimized crystal structure of LaMgCl.

Calculated values
- Raw formation energy: -0.905 eV/atom
- Spin magnetization: 0.00 μB per formula unit

abc: 3.6850 3.6850 7.4126
angles: 90.00 90.00 120.00
With the nearest neighbours (Å) after each atom.
Fractional positions:
La: 0.0000 0.0000 0.0000  3 Cl 3.02
Mg: 0.3333 0.6667 0.3659  1 Cl 2.56
Cl: 0.3333 0.6667 0.7118  1 Mg 2.56



A plane-wave DFT calculation with PBE was carried out for an optimized crystal structure of Nd4GaPb.

Calculated values
- Spin magnetization: 0.02 μB per formula unit
- ΔH_f (0 K): -2.1 eV per formula unit

abc: 10.2269 10.2269 10.2269
angles: 60.00 60.00 60.00
With the nearest neighbours (Å) after each atom.
Fractional positions:
Nd: 0.1897 0.1897 0.8103  2 Pb 3.31, 2 Ga 3.67, 2 Nd 3.67
Nd: 0.1897 0.8103 0.1897  2 Pb 3.31, 2 Ga 3.67, 2 Nd 3.67
Nd: 0.1897 0.8103 0.8103  2 Pb 3.31, 2 Ga 3.67, 2 Nd 3.67
Nd: 0.3911 0.3911 0.3911  3 Ga 3.13, 3 Pb 3.50
Nd: 0.3911 0.3911 0.8266  3 Ga 3.13, 3 Pb 3.50
Nd: 0.3911 0.8266 0.3911  3 Ga 3.13, 3 Pb 3.50
Nd: 0.5547 0.5547 0.9453  2 Ga 3.02
Nd: 0.5547 0.9453 0.5547  2 Ga 3.02
Nd: 0.5547 0.9453 0.9453  2 Ga 3.02
Nd: 0.8103 0.1897 0.1897  2 Pb 3.31, 2 Ga 3.67, 2 Nd 3.67
Nd: 0.8103 0.1897 0.8103  2 Pb 3.31, 2 Ga 3.67, 2 Nd 3.67
Nd: 0.8103 0.8103 0.1897  2 Pb 3.31, 2 Ga 3.67, 2 Nd 3.67
Nd: 0.8266 0.3911 0.3911  3 Ga 3.13, 3 Pb 3.50
Nd: 0.9453 0.5547 0.5547  2 Ga 3.02
Nd: 0.9453 0.5547 0.9453  2 Ga 3.02
Nd: 0.9453 0.9453 0.5547  2 Ga 3.02
Ga: 0.1781 0.6073 0.6073  6 Nd 3.02-3.13
Ga: 0.6073 0.1781 0.6073  6 Nd 3.02-3.13
Ga: 0.6073 0.6073 0.1781  6 Nd 3.02-3.13
Ga: 0.6073 0.6073 0.6073  6 Nd 3.02-3.13
Pb: 0.1607 0.1607 0.1607  9 Nd 3.31-3.61, 3 Pb 3.65
Pb: 0.1607 0.1607 0.5178  9 Nd 3.31-3.61, 3 Pb 3.65
Pb: 0.1607 0.5178 0.1607  9 Nd 3.31-3.61, 3 Pb 3.65
Pb: 0.5178 0.1607 0.1607  9 Nd 3.31-3.61, 3 Pb 3.65



Question: What is the spin magnetization in the third record?
Answer: 0.00 μB per formula unit



Question: Among the records above, which one has the highest spin magnetization?
Answer: PmDy2P



Question: Number 3 is which compound?
Answer: KSiNi2



What did the fifth record say?
A plane-wave DFT calculation with PBE was carried out for an optimized crystal structure of LaMgCl.

Calculated values
- Raw formation energy: -0.905 eV/atom
- Spin magnetization: 0.00 μB per formula unit

abc: 3.6850 3.6850 7.4126
angles: 90.00 90.00 120.00
With the nearest neighbours (Å) after each atom.
Fractional positions:
La: 0.0000 0.0000 0.0000  3 Cl 3.02
Mg: 0.3333 0.6667 0.3659  1 Cl 2.56
Cl: 0.3333 0.6667 0.7118  1 Mg 2.56